An optimized crystal structure of Cd4SiTe6, computed with GGA-PBE.

Properties
uncorrected formation energy = -0.32 eV/atom

CIF file:
```
data_Cd4SiTe6
_space_group_name_H-M_alt 'C 1 c 1'
_space_group_IT_number 9
_cell_length_a 14.0048
_cell_length_b 8.0937
_cell_length_c 13.9670
_cell_angle_alpha 90.00
_cell_angle_beta 109.64
_cell_angle_gamma 90.00
loop_
_space_group_symop_operation_xyz
'x,y,z'
'x,-y,z+1/2'
'x+1/2,y+1/2,z'
'x+1/2,-y+1/2,z+1/2'
loop_
_atom_site_label
_atom_site_fract_x
_atom_site_fract_y
_atom_site_fract_z
Cd1 0.0000 0.0678 0.0000
Cd2 0.1609 0.3952 0.4922
Cd3 0.1805 0.1004 0.8044
Cd4 0.3660 0.2083 0.1581
Si1 0.4311 0.2665 0.7423
Te1 0.0522 0.2328 0.6136
Te2 0.1206 0.2489 0.2921
Te3 0.1769 0.2496 0.9917
Te4 0.3572 0.2248 0.5534
Te5 0.3566 0.4840 0.2961
Te6 0.3867 0.0153 0.8260
```

An optimized crystal structure of CuReRu2, computed with GGA-PBE.

Properties
D(E_F) = 3.1 states/eV/f.u.
formation energy = 0.5 eV per formula unit

CIF file:
```
data_CuReRu2
_space_group_name_H-M_alt 'R -3 m'
_space_group_IT_number 166
_space_group_name_Hall '-R 3 2"'
_cell_length_a 2.7256
_cell_length_b 2.7256
_cell_length_c 26.2129
_cell_angle_alpha 90.00
_cell_angle_beta 90.00
_cell_angle_gamma 120.00
loop_
_atom_site_label
_atom_site_fract_x
_atom_site_fract_y
_atom_site_fract_z
Cu1 0.0000 0.0000 0.0000
Re1 0.0000 0.0000 0.5000
Ru1 0.0000 0.0000 0.2493
```

| no. | energy (eV for the cell shown) | total magnetization (Bohr magnetons per cell) |
| --- | --- | --- |
| 1 | -125.86 | 0.0 |
| 2 | -103.78 | 0.0 |